! NpGa3Pd (PBE, optimized geometry); values from VASP
&SYSTEM
  ibrav = 0, nat = 20, ntyp = 3
/
ATOMIC_SPECIES
Np 237.00 Np.upf
Ga 69.72 Ga.upf
Pd 106.42 Pd.upf
CELL_PARAMETERS angstrom
8.410 0.000 0.000
0.000 3.496 0.000
0.000 0.000 12.019
ATOMIC_POSITIONS crystal
Np 0.097 0.250 0.003
Np 0.403 0.750 0.503
Np 0.597 0.250 0.497
Np 0.903 0.750 0.997
Ga 0.092 0.250 0.423
Ga 0.100 0.750 0.215
Ga 0.149 0.750 0.796
Ga 0.351 0.250 0.296
Ga 0.400 0.250 0.715
Ga 0.408 0.750 0.923
Ga 0.592 0.250 0.077
Ga 0.600 0.750 0.285
Ga 0.649 0.750 0.704
Ga 0.851 0.250 0.204
Ga 0.900 0.250 0.785
Ga 0.908 0.750 0.577
Pd 0.121 0.250 0.636
Pd 0.379 0.750 0.136
Pd 0.621 0.250 0.864
Pd 0.879 0.750 0.364
! **Energy relative to the elements**: -0.318 eV/atom
! **Total magnetization**: 0.00 μB per cell

---

! NpGaPd (PBE, optimized geometry); values from VASP
&SYSTEM
  ibrav = 0, nat = 3, ntyp = 3
/
ATOMIC_SPECIES
Np 237.00 Np.upf
Ga 69.72 Ga.upf
Pd 106.42 Pd.upf
CELL_PARAMETERS angstrom
-1.527 1.527 5.950
1.527 -1.527 5.950
1.527 1.527 -5.950
ATOMIC_POSITIONS crystal
Np 0.000 0.000 0.000
Ga 0.311 0.311 0.000
Pd 0.686 0.686 0.000
! **Energy relative to the elements**: -0.276 eV/atom
! **Total magnetization**: 4.12 μB per cell